11
Lattice="4.777 0.000 0.000 0.000 4.777 0.000 -2.389 -2.389 16.695" Properties=species:S:1:pos:R:3 comment="Sm6Y3Ho2 PBE relaxed" formation_enthalpy_0k_ev_per_atom=0.286 rho_g_cm3=6.532 dos_at_fermi_per_ev_atom=1.377 e_above_lowest_polymorph_mev_per_atom=271 e_tot_ev_per_atom=-4.883 crystal_system=tetragonal vol_a3_per_cell=381.0 space_group="I4/mmm (139)" pbc="T T T"
Sm 0.000 2.389 3.988
Y 0.000 0.000 0.000
Sm 0.000 2.389 12.707
Sm 2.389 2.389 6.504
Ho 0.000 0.000 15.180
Sm 2.389 0.000 3.988
Sm 2.389 0.000 12.707
Y 2.389 2.389 9.977
Sm 0.000 0.000 10.191
Ho 2.389 2.389 1.515
Y 0.000 0.000 6.718


6
Lattice="3.598 -0.008 -0.011 -1.781 7.666 -5.378 -0.020 -5.135 10.800" Properties=species:S:1:pos:R:3 comment="Sm4YHo PBE relaxed" formation_enthalpy_0k_ev_per_atom=0.016 rho_g_cm3=7.164 dos_at_fermi_per_ev_atom=1.438 e_above_lowest_polymorph_mev_per_atom=0 e_tot_ev_per_atom=-4.970 crystal_system=triclinic vol_a3_per_cell=198.2 space_group="P-1 (2)" pbc="T T T"
Ho 0.000 0.000 0.000
Sm 1.802 2.524 1.802
Sm 1.783 -2.595 9.000
Sm 0.013 5.119 -3.590
Y 0.008 5.094 0.016
Sm -0.005 -0.002 3.609


12
Lattice="6.040 -0.451 0.191 -3.441 4.721 -1.616 0.417 1.376 14.396" Properties=species:S:1:pos:R:3 comment="Sm5Y5Ho2 PBE relaxed" formation_enthalpy_0k_ev_per_atom=0.163 rho_g_cm3=6.327 dos_at_fermi_per_ev_atom=1.479 e_above_lowest_polymorph_mev_per_atom=145 e_tot_ev_per_atom=-5.259 crystal_system=triclinic vol_a3_per_cell=400.5 space_group="P-1 (2)" pbc="T T T"
Y 2.697 2.096 11.237
Y 2.690 3.903 7.138
Ho 0.863 0.468 2.978
Y 0.320 3.548 1.735
Sm -0.173 4.195 12.283
Y 0.000 0.000 0.000
Sm 3.190 1.450 0.688
Ho 2.154 5.177 9.993
Sm -0.489 3.242 8.849
Sm 3.505 2.403 4.122
Y 0.326 1.742 5.833
Sm 3.229 0.462 7.293


10
Lattice="-2.906 -0.075 5.159 -0.200 -7.434 3.179 4.983 1.349 6.226" Properties=species:S:1:pos:R:3 comment="Sm4YHo5 PBE relaxed" formation_enthalpy_0k_ev_per_atom=0.255 rho_g_cm3=7.499 dos_at_fermi_per_ev_atom=1.327 e_above_lowest_polymorph_mev_per_atom=64 e_tot_ev_per_atom=-4.568 crystal_system=tetragonal vol_a3_per_cell=335.5 space_group="I4mm (107)" pbc="T T T"
Sm 0.164 -4.622 6.503
Sm 1.986 -1.531 7.574
Ho -0.518 -6.979 9.449
Sm 0.975 -4.170 10.366
Y -0.629 -0.016 1.117
Ho 4.459 -3.281 8.908
Ho 2.698 0.826 4.577
Ho -2.279 -2.871 5.118
Ho -2.007 -0.052 3.563
Sm 1.176 -1.983 3.712


12
Lattice="5.010 0.000 0.000 0.000 5.010 0.000 0.000 0.000 15.025" Properties=species:S:1:pos:R:3 comment="SmY2Ho9 PBE relaxed" formation_enthalpy_0k_ev_per_atom=0.023 rho_g_cm3=7.982 dos_at_fermi_per_ev_atom=1.469 e_above_lowest_polymorph_mev_per_atom=0 e_tot_ev_per_atom=-4.881 crystal_system=tetragonal vol_a3_per_cell=377.1 space_group="P4/mmm (123)" pbc="T T T"
Ho 2.505 0.000 2.511
Y 0.000 0.000 10.013
Ho 0.000 2.505 7.512
Ho 0.000 2.505 12.514
Y 0.000 0.000 5.011
Ho 2.505 2.505 5.018
Ho 2.505 0.000 7.512
Ho 2.505 0.000 12.514
Ho 2.505 2.505 10.007
Sm 0.000 0.000 0.000
Ho 0.000 2.505 2.511
Ho 2.505 2.505 0.000


6
Lattice="6.567 0.000 0.000 3.283 5.687 0.000 3.283 1.896 5.362" Properties=species:S:1:pos:R:3 comment="SmYHo4 PBE relaxed" formation_enthalpy_0k_ev_per_atom=0.260 rho_g_cm3=7.456 dos_at_fermi_per_ev_atom=1.900 e_above_lowest_polymorph_mev_per_atom=238 e_tot_ev_per_atom=-4.656 crystal_system=cubic vol_a3_per_cell=200.2 space_group="F-43m (216)" pbc="T T T"
Y 0.000 0.000 0.000
Ho 4.922 4.741 3.352
Sm 3.283 1.896 1.340
Ho 8.211 4.741 3.352
Ho 6.567 3.791 0.667
Ho 6.567 1.892 3.352


18
Lattice="7.081 0.000 0.000 0.000 9.796 0.000 0.000 -4.898 8.483" Properties=species:S:1:pos:R:3 comment="Sm3Y5Ho PBE relaxed" formation_enthalpy_0k_ev_per_atom=0.048 rho_g_cm3=5.986 dos_at_fermi_per_ev_atom=1.455 e_above_lowest_polymorph_mev_per_atom=0 e_tot_ev_per_atom=-5.625 crystal_system=hexagonal vol_a3_per_cell=588.4 space_group="P6_3/mcm (193)" pbc="T T T"
Sm 1.770 6.268 0.000
Y 5.311 -3.402 5.893
Sm 1.770 -3.134 5.429
Y 5.311 1.496 2.591
Sm 5.311 3.527 0.000
Ho 0.000 0.000 0.000
Y 1.770 -1.496 2.591
Y 3.541 0.000 5.655
Ho 3.541 0.000 0.000
Sm 1.770 1.764 3.055
Y 3.541 4.898 2.828
Sm 5.311 3.134 5.429
Y 0.000 0.000 5.655
Sm 5.311 -1.764 3.055
Y 1.770 2.991 0.000
Y 5.311 6.804 0.000
Y 0.000 4.898 2.828
Y 1.770 3.402 5.893


11
Lattice="-1.255 2.658 -4.707 -9.638 -3.316 0.694 2.046 3.424 7.929" Properties=species:S:1:pos:R:3 comment="Sm3Y7Ho PBE relaxed" formation_enthalpy_0k_ev_per_atom=0.143 rho_g_cm3=5.613 dos_at_fermi_per_ev_atom=1.662 e_above_lowest_polymorph_mev_per_atom=0 e_tot_ev_per_atom=-5.674 crystal_system=monoclinic vol_a3_per_cell=366.3 space_group="P2/m (10)" pbc="T T T"
Y 0.395 3.041 1.611
Y -1.570 0.028 0.435
Y -4.006 1.227 -1.511
Y -1.642 1.590 4.604
Ho -4.424 1.383 1.958
Sm -4.819 -1.658 0.347
Y -7.206 1.176 -0.688
Y -7.278 2.738 3.481
Y -4.841 1.539 5.427
Sm 1.194 3.424 4.887
Sm -10.042 -0.658 -0.971


10
Lattice="-5.415 -0.644 0.632 1.149 -4.118 5.648 2.484 7.107 4.677" Properties=species:S:1:pos:R:3 comment="Sm2Y2Ho PBE relaxed" formation_enthalpy_0k_ev_per_atom=0.055 rho_g_cm3=6.522 dos_at_fermi_per_ev_atom=1.695 e_above_lowest_polymorph_mev_per_atom=0 e_tot_ev_per_atom=-5.334 crystal_system=orthorhombic vol_a3_per_cell=327.7 space_group="Cmc2_1 (36)" pbc="T T T"
Y -1.982 3.059 9.967
Y 0.374 -1.335 1.841
Sm 0.487 2.954 7.175
Ho -0.086 4.984 4.339
Ho -2.093 -1.217 4.667
Sm -2.668 0.821 1.819
Y -2.466 2.412 5.169
Sm -1.891 0.358 8.003
Y 0.862 -0.705 6.662
Sm 0.288 1.343 3.835


10
Lattice="6.089 0.000 -2.471 -1.247 9.003 -3.072 -0.888 -0.373 6.550" Properties=species:S:1:pos:R:3 comment="Sm3YHo6 PBE relaxed" formation_enthalpy_0k_ev_per_atom=0.221 rho_g_cm3=7.669 dos_at_fermi_per_ev_atom=1.725 e_above_lowest_polymorph_mev_per_atom=66 e_tot_ev_per_atom=-4.588 crystal_system=monoclinic vol_a3_per_cell=331.2 space_group="C2/m (12)" pbc="T T T"
Ho 1.999 5.988 0.602
Sm 4.526 2.397 2.413
Ho 2.488 8.209 -2.607
Ho 4.969 2.643 -0.819
Ho 1.467 0.421 3.614
Y 2.421 4.502 -2.772
Ho -1.014 5.988 1.825
Sm 0.000 0.000 0.000
Ho 1.955 2.643 0.404
Sm -0.571 6.234 -1.407


7
Lattice="3.499 -0.528 0.552 -0.344 11.729 1.811 1.088 1.283 5.971" Properties=species:S:1:pos:R:3 comment="Sm3Y2Ho2 PBE relaxed" formation_enthalpy_0k_ev_per_atom=0.017 rho_g_cm3=6.999 dos_at_fermi_per_ev_atom=1.286 e_above_lowest_polymorph_mev_per_atom=0 e_tot_ev_per_atom=-5.160 crystal_system=monoclinic vol_a3_per_cell=227.5 space_group="C2/m (12)" pbc="T T T"
Sm 2.077 7.375 5.535
Ho 3.332 4.064 6.031
Sm 0.000 0.000 0.000
Y 3.417 1.773 3.286
Ho 0.911 8.420 2.303
Sm 2.166 5.109 2.798
Y 0.826 10.710 5.048


12
Lattice="-3.115 -1.684 -0.295 2.084 -3.074 -4.469 5.636 -12.646 12.679" Properties=species:S:1:pos:R:3 comment="Sm3Y2Ho7 PBE relaxed" formation_enthalpy_0k_ev_per_atom=0.090 rho_g_cm3=7.651 dos_at_fermi_per_ev_atom=1.270 e_above_lowest_polymorph_mev_per_atom=6 e_tot_ev_per_atom=-4.837 crystal_system=monoclinic vol_a3_per_cell=387.1 space_group="P2/m (10)" pbc="T T T"
Y 1.576 -6.733 0.383
Ho 0.000 0.000 0.000
Ho 2.243 -3.926 -1.277
Y 3.029 -10.671 7.532
Ho 2.006 -8.426 5.516
Sm -0.516 -2.379 -2.382
Sm 5.179 -10.378 4.546
Ho -0.163 -3.661 1.222
Ho 5.477 -11.794 9.487
Ho 2.599 -8.978 2.399
Sm 2.541 -5.342 3.664
Ho 4.768 -13.743 6.693